Record 1
Computed, not measured: a geometry-optimized K2Cd6In3 structure at the PBE level of DFT.

Cell lengths 4.8968, 8.7989, 8.7989 Å; angles 120.00, 90.00, 90.00 degrees
Closest atoms and distances in Å follow each position.
Element x y z (fractional)
K1 0.0000 0.6667 0.3333  6 In 3.68, 9 Cd 3.70-4.01
K2 0.0000 0.3333 0.6667  6 In 3.68, 9 Cd 3.70-4.01
Cd1 0.5000 0.7177 0.7177  3 In 2.95-3.02, 4 Cd 3.29
Cd2 0.5000 0.0000 0.2823  3 In 2.95-3.02, 4 Cd 3.29
Cd3 0.0000 0.1944 0.1944  2 In 2.96, 6 Cd 2.96-3.29
Cd4 0.0000 0.8056 0.0000  2 In 2.96, 6 Cd 2.96-3.29
Cd5 0.5000 0.2823 0.0000  3 In 2.95-3.02, 4 Cd 3.29
Cd6 0.0000 0.0000 0.8056  2 In 2.96, 6 Cd 2.96-3.29
In1 0.5000 0.3826 0.3826  5 Cd 2.95-3.02
In2 0.5000 0.6174 0.0000  5 Cd 2.95-3.02
In3 0.5000 0.0000 0.6174  5 Cd 2.95-3.02

Summary:
calculated volume	328.3	Å³/cell
DOS at the Fermi energy	6.639	states/eV per cell
formation energy from the elements	-0.053	eV per atom
total moment	0.00	μB/f.u.

Record 2
Computed, not measured: a geometry-optimized K2Cd3In6 structure at the PBE level of DFT.

Cell lengths 4.7335, 9.0302, 9.0302 Å; angles 120.00, 90.00, 90.00 degrees
Closest atoms and distances in Å follow each position.
Element x y z (fractional)
K1 0.0000 0.6667 0.3333  6 Cd 3.67, 9 In 3.79-4.00
K2 0.0000 0.3333 0.6667  6 Cd 3.67, 9 In 3.79-4.00
Cd1 0.5000 0.3860 0.3860  5 In 2.92-3.14
Cd2 0.5000 0.6140 0.0000  5 In 2.92-3.14
Cd3 0.5000 0.0000 0.6140  5 In 2.92-3.14
In1 0.5000 0.7096 0.7096  3 Cd 2.92-3.14
In2 0.5000 0.0000 0.2904  3 Cd 2.92-3.14
In3 0.0000 0.1946 0.1946  2 Cd 2.93, 2 In 3.04
In4 0.0000 0.8054 0.0000  2 Cd 2.93, 2 In 3.04
In5 0.5000 0.2904 0.0000  3 Cd 2.92-3.14
In6 0.0000 0.0000 0.8054  2 Cd 2.93, 2 In 3.04

Summary:
calculated volume	334.3	Å³/cell
DOS at the Fermi energy	6.690	states/eV per cell
formation energy from the elements	-0.088	eV per atom
total moment	0.00	μB/f.u.

Record 3
Computed, not measured: a geometry-optimized KCd3In structure at the PBE level of DFT.

Cell lengths 5.0033, 5.0033, 7.0066 Å; angles 110.92, 110.92, 90.00 degrees
Closest atoms and distances in Å follow each position.
Element x y z (fractional)
K1 0.0170 0.0170 0.0340  12 Cd 3.81-3.93, 4 In 3.83
Cd1 0.2672 0.7672 0.5345  2 In 2.94, 2 Cd 2.97
Cd2 0.7672 0.2672 0.5345  2 In 2.94, 2 Cd 2.97
Cd3 0.3999 0.3999 0.7997  1 In 2.89, 4 Cd 2.97
In1 0.6389 0.6389 0.2778  5 Cd 2.89-2.94

Summary:
calculated volume	151.4	Å³/cell
DOS at the Fermi energy	2.273	states/eV per cell
formation energy from the elements	-0.070	eV per atom
total moment	0.00	μB/f.u.

Record 4
Computed, not measured: a geometry-optimized KCdIn2 structure at the PBE level of DFT.

Cell lengths 5.0766, 6.4519, 7.8976 Å; angles 90.00, 90.00, 113.17 degrees
Closest atoms and distances in Å follow each position.
Element x y z (fractional)
K1 0.9240 0.8481 0.2500  3 Cd 3.44-3.56, 6 In 3.56-3.80
K2 0.0760 0.1519 0.7500  3 Cd 3.44-3.56, 6 In 3.56-3.80
Cd1 0.2138 0.4277 0.2500  6 In 3.03-3.12
Cd2 0.7862 0.5723 0.7500  6 In 3.03-3.12
In1 0.3685 0.7370 0.9446  3 Cd 3.03-3.12, 2 In 3.07-3.24
In2 0.6315 0.2630 0.0554  3 Cd 3.03-3.12, 2 In 3.07-3.24
In3 0.6315 0.2630 0.4446  3 Cd 3.03-3.12, 2 In 3.07-3.24
In4 0.3685 0.7370 0.5554  3 Cd 3.03-3.12, 2 In 3.07-3.24

Summary:
calculated volume	237.8	Å³/cell
DOS at the Fermi energy	2.391	states/eV per cell
formation energy from the elements	-0.108	eV per atom
total moment	0.00	μB/f.u.